# OsBrN2O

A relaxed structure of OsBrN2O (GGA-PBE, Alexandria via LeMat-Bulk).

Output
E_form (uncorrected) in kJ/mol of atoms: 260.0

Cell: 4.109 4.109 3.612 Å, 90.00 90.00 90.00°
Atoms (fractional coordinates):
Os: 0.000 0.000 0.000
Br: 0.500 0.500 0.500
N: 0.000 0.500 0.500
N: 0.500 0.000 0.500
O: 0.500 0.500 0.000

***

# NaZn2Hg2

A relaxed structure of NaZn2Hg2 (GGA-PBE, Alexandria via LeMat-Bulk).

Output
Polymorph energy (0 for the lowest one) in meV per atom: 41
E_form in meV/atom: -1

Cell: 8.132 8.132 3.307 Å, 90.00 90.00 90.00°
Atoms (fractional coordinates):
Na: 0.000 0.000 0.000
Na: 0.500 0.500 0.000
Zn: 0.132 0.368 0.500
Zn: 0.368 0.868 0.500
Zn: 0.632 0.132 0.500
Zn: 0.868 0.632 0.500
Hg: 0.164 0.664 0.000
Hg: 0.336 0.164 0.000
Hg: 0.664 0.836 0.000
Hg: 0.836 0.336 0.000

***

# NaTaAs2

A relaxed structure of NaTaAs2 (GGA-PBE, Alexandria via LeMat-Bulk).

Output
Polymorph energy (0 for the lowest one) in meV per atom: 97
E_form in meV/atom: -299

Cell: 3.241 3.241 7.528 Å, 90.00 90.00 90.00°
Atoms (fractional coordinates):
Na: 0.000 0.000 0.000
Ta: 0.000 0.000 0.500
As: 0.500 0.500 0.294
As: 0.500 0.500 0.706

***

# Mg4ZnCd2

A relaxed structure of Mg4ZnCd2 (GGA-PBE, Alexandria via LeMat-Bulk).

Output
E_form in meV/atom: -20

Cell: 8.210 8.210 8.210 Å, 34.14 34.14 34.14°
Atoms (fractional coordinates):
Mg: 0.122 0.122 0.122
Mg: 0.374 0.374 0.374
Mg: 0.626 0.626 0.626
Mg: 0.878 0.878 0.878
Zn: 0.500 0.500 0.500
Cd: 0.249 0.249 0.249
Cd: 0.751 0.751 0.751

***

# PmGa12Au4

A relaxed structure of PmGa12Au4 (GGA-PBE, Alexandria via LeMat-Bulk).

Output
E_form in meV/atom: -170

Cell: 7.758 7.758 7.758 Å, 109.47 109.47 109.47°
Atoms (fractional coordinates):
Pm: 0.000 0.000 0.000
Ga: 0.147 0.353 0.500
Ga: 0.147 0.647 0.793
Ga: 0.207 0.853 0.353
Ga: 0.353 0.207 0.853
Ga: 0.353 0.500 0.147
Ga: 0.500 0.147 0.353
Ga: 0.500 0.853 0.647
Ga: 0.647 0.500 0.853
Ga: 0.647 0.793 0.147
Ga: 0.793 0.147 0.647
Ga: 0.853 0.353 0.207
Ga: 0.853 0.647 0.500
Au: 0.000 0.000 0.500
Au: 0.000 0.500 0.000
Au: 0.500 0.000 0.000
Au: 0.500 0.500 0.500

***

# Th4OsPb

A relaxed structure of Th4OsPb (GGA-PBE, Alexandria via LeMat-Bulk).

Output
Polymorph energy (0 for the lowest one) in meV per atom: 0
E_form in meV/atom: -260

Cell: 7.516 7.516 6.182 Å, 90.00 90.00 90.00°
Atoms (fractional coordinates):
Th: 0.139 0.318 0.000
Th: 0.139 0.682 0.500
Th: 0.318 0.139 0.500
Th: 0.318 0.861 0.000
Th: 0.682 0.139 0.000
Th: 0.682 0.861 0.500
Th: 0.861 0.318 0.500
Th: 0.861 0.682 0.000
Os: 0.000 0.000 0.250
Os: 0.000 0.000 0.750
Pb: 0.500 0.500 0.250
Pb: 0.500 0.500 0.750

***

Number 1: magnetization 2.78 μB/f.u., total energy -4.208 eV/atom. Number 2: magnetization 0.00 μB/f.u., total energy -0.895 eV/atom. Number 3: magnetization 0.15 μB/f.u., total energy -5.917 eV/atom. Number 4: magnetization 0.00 μB/f.u., total energy -1.374 eV/atom. Number 5: magnetization 0.00 μB/f.u., total energy -3.357 eV/atom. Number 6: magnetization 0.00 μB/f.u., total energy -7.697 eV/atom.